No. 1
{
  "formula": "CoMoAsPt",
  "functional": "PBE-GGA",
  "state": "relaxed",
  "lattice_angstrom": [[-0.856, -3.668, 2.163], [-3.308, -0.142, 2.811], [-3.560, -2.301, -0.950]],
  "species": ["As", "Co", "Mo", "Pt"],
  "frac_coords": [[0.000, 0.000, 0.000], [0.750, 0.750, 0.750], [0.250, 0.250, 0.250], [0.500, 0.500, 0.500]]
}


No. 2
{
  "formula": "RbLaNi",
  "functional": "PBE-GGA",
  "state": "relaxed",
  "lattice_angstrom": [[0.000, 3.612, 3.612], [3.612, 0.000, 3.612], [3.612, 3.612, 0.000]],
  "species": ["La", "Ni", "Rb"],
  "frac_coords": [[0.250, 0.250, 0.250], [0.000, 0.000, 0.000], [0.750, 0.750, 0.750]]
}


No. 3
{
  "formula": "Hf3CdI",
  "functional": "PBE-GGA",
  "state": "relaxed",
  "lattice_angstrom": [[5.179, 0.000, 0.000], [0.000, 5.179, 0.000], [0.000, 0.000, 5.179]],
  "species": ["Cd", "Hf", "Hf", "Hf", "I"],
  "frac_coords": [[0.000, 0.000, 0.000], [0.500, 0.500, 0.000], [0.500, 0.000, 0.500], [0.000, 0.500, 0.500], [0.500, 0.500, 0.500]]
}


No. 4
{
  "formula": "Y2AlRe",
  "functional": "PBE-GGA",
  "state": "relaxed",
  "lattice_angstrom": [[-2.369, -2.393, 3.533], [-4.093, -2.450, -1.032], [-0.005, -4.880, 0.063]],
  "species": ["Al", "Re", "Y", "Y"],
  "frac_coords": [[0.500, 0.500, 0.500], [0.250, 0.250, 0.250], [0.000, 0.000, 0.000], [0.750, 0.750, 0.750]]
}


No. 5
{
  "formula": "Y2AsW",
  "functional": "PBE-GGA",
  "state": "relaxed",
  "lattice_angstrom": [[0.000, 3.465, 3.465], [3.465, 0.000, 3.465], [3.465, 3.465, 0.000]],
  "species": ["As", "W", "Y", "Y"],
  "frac_coords": [[0.500, 0.500, 0.500], [0.250, 0.250, 0.250], [0.000, 0.000, 0.000], [0.750, 0.750, 0.750]]
}


No. 6
{
  "formula": "Mo2Ir3Os3",
  "functional": "PBE-GGA",
  "state": "relaxed",
  "delta_e_f_ev_per_atom": -0.230,
  "lattice_angstrom": [[-4.039, 0.898, -1.492], [-2.129, -3.696, 3.541], [-1.527, 1.583, 5.088]],
  "species": ["Ir", "Ir", "Ir", "Mo", "Mo", "Os", "Os", "Os"],
  "frac_coords": [[0.500, 0.668, 0.165], [0.500, 0.165, 0.668], [0.000, 0.835, 0.835], [0.000, 0.333, 0.333], [0.500, 0.667, 0.667], [0.500, 0.167, 0.167], [0.000, 0.832, 0.333], [0.000, 0.333, 0.832]]
}


no.,energy (eV per cell)
1,-28.50
2,-9.87
3,-26.38
4,-28.46
5,-29.23
6,-83.78